A relaxed structure of PmCuRh. Source: the Alexandria database, functional PBE-GGA.

**N(E_F)**: 2.08 states/eV per cell
**Raw total energy**: -5.692 eV per atom
**Size of the total moment**: 0.0 Bohr magnetons per cell
**Energy above the most stable polymorph in this dataset**: 205 meV/atom
**Formation enthalpy at 0 K**: -0.88 eV per formula unit
**Space group**: I4mm (107)
**Volume**: 18.920 A^3/atom

Lattice parameters (Å, degrees): 5.2721 5.2721 5.2721 141.34 141.34 55.83
Closest atoms and distances in Å follow each position.
Element x y z (fractional)
Pm 0.0000 0.0000 0.0000  5 Cu 2.86-3.05, 5 Rh 2.95-3.00
Cu 0.6932 0.6932 0.0000  4 Rh 2.72, 1 Pm 2.86
Rh 0.3170 0.3170 0.0000  4 Cu 2.72, 5 Pm 2.95-3.00


A relaxed structure of Sm4YEr. Source: the Alexandria database, functional PBE-GGA.

**N(E_F)**: 9.47 states/eV per cell
**Raw total energy**: -4.329 eV per atom
**Size of the total moment**: 0.0 Bohr magnetons per cell
**Energy above the most stable polymorph in this dataset**: 639 meV/atom
**Formation enthalpy at 0 K**: 3.93 eV per formula unit
**Space group**: Cmmm (65)
**Volume**: 39.240 A^3/atom

Lattice parameters (Å, degrees): 8.2477 8.2477 3.4611 90.00 90.00 90.11
Closest atoms and distances in Å follow each position.
Element x y z (fractional)
Sm 0.2412 0.7588 0.0000  1 Er 3.02, 2 Y 3.30
Sm 0.2620 0.2620 0.5000  1 Y 3.05, 2 Er 3.27
Sm 0.7380 0.7380 0.5000  1 Y 3.05, 2 Er 3.27
Sm 0.7588 0.2412 0.0000  1 Er 3.02, 2 Y 3.30
Y 0.0000 0.0000 0.5000  6 Sm 3.05-3.30
Er 0.5000 0.5000 0.0000  6 Sm 3.02-3.27


A relaxed structure of LiMg3Hg. Source: the Alexandria database, functional PBE-GGA.

**N(E_F)**: 2.72 states/eV per cell
**Raw total energy**: -1.587 eV per atom
**Size of the total moment**: 0.0 Bohr magnetons per cell
**Energy above the most stable polymorph in this dataset**: 0 meV/atom
**Formation enthalpy at 0 K**: -0.93 eV per formula unit
**Space group**: Cmcm (63)
**Volume**: 20.294 A^3/atom

Lattice parameters (Å, degrees): 9.3687 9.3687 4.7345 90.00 90.00 150.77
Closest atoms and distances in Å follow each position.
Element x y z (fractional)
Li 0.1526 0.8474 0.7500  8 Mg 2.91-2.96
Li 0.8474 0.1526 0.2500  8 Mg 2.91-2.96
Mg 0.0560 0.9440 0.2500  2 Li 2.94, 2 Hg 2.98, 4 Mg 3.12-3.15
Mg 0.2496 0.7504 0.2500  4 Hg 2.91-2.92, 4 Li 2.95-2.96
Mg 0.4409 0.5591 0.2500  2 Li 2.91, 2 Hg 2.95, 4 Mg 3.15-3.19
Mg 0.5591 0.4409 0.7500  2 Li 2.91, 2 Hg 2.95, 4 Mg 3.15-3.19
Mg 0.7504 0.2496 0.7500  4 Hg 2.91-2.92, 4 Li 2.95-2.96
Mg 0.9440 0.0560 0.7500  2 Li 2.94, 2 Hg 2.98, 4 Mg 3.12-3.15
Hg 0.3441 0.6559 0.7500  8 Mg 2.91-2.98
Hg 0.6559 0.3441 0.2500  8 Mg 2.91-2.98


A relaxed structure of BeSiSe. Source: the Alexandria database, functional PBE-GGA.

**Raw total energy**: -4.376 eV per atom
**Size of the total moment**: 0.0 Bohr magnetons per cell
**Energy above the most stable polymorph in this dataset**: 239 meV/atom
**Space group**: P1 (1)
**Volume**: 20.445 A^3/atom
**E_form (uncorrected)**: -0.165 eV per atom

Lattice parameters (Å, degrees): 3.8127 6.2262 6.2916 60.81 72.62 89.66
Closest atoms and distances in Å follow each position.
Element x y z (fractional)
Be 0.0000 0.0000 0.0000  2 Se 2.12-2.20, 1 Si 2.20
Be 0.2155 0.7190 0.6016  1 Si 2.24, 3 Se 2.24-2.34
Si 0.2107 0.3492 0.6245  2 Be 2.20-2.24, 2 Si 2.33-2.34
Si 0.8153 0.3306 0.4102  2 Si 2.33-2.34, 2 Se 2.36-2.43
Se 0.8163 0.9498 0.3906  3 Be 2.20-2.34, 1 Si 2.43
Se 0.9094 0.6699 0.9901  2 Be 2.12-2.24, 1 Si 2.36